{"formula": "Rb2H2F5", "functional": "PBE", "state": "optimized geometry", "lattice": [[6.9293, 0.0000, 0.0000], [0.0000, 4.9821, 0.0000], [-3.4647, -2.4910, 8.4042]], "species": ["Rb", "Rb", "Rb", "Rb", "H", "H", "H", "H", "F", "F", "F", "F", "F", "F", "F", "F", "F", "F"], "fractional_positions": [[0.1104, 0.6859, 0.2429], [0.8896, 0.4429, 0.7571], [0.6326, 0.1859, 0.2429], [0.3674, 0.9429, 0.7571], [0.0000, 0.0667, 0.0000], [0.5000, 0.5667, 0.0000], [0.3716, 0.3141, 0.5000], [0.6284, 0.8141, 0.5000], [0.3224, 0.5476, 0.9612], [0.6776, 0.5864, 0.0388], [0.1388, 0.0476, 0.9612], [0.8612, 0.0864, 0.0388], [0.3074, 0.2459, 0.3635], [0.6926, 0.8824, 0.6365], [0.5560, 0.7459, 0.3635], [0.4440, 0.3824, 0.6365], [0.0000, 0.5640, 0.5000], [0.0000, 0.0640, 0.5000]], "polymorph_energy_kj_per_mol_atoms": 1.7, "sg": "Ima2"}